A plane-wave DFT calculation with GGA-PBE was carried out for an optimized crystal structure of Dy6Al2Tl.

Cell and atoms, written as POSCAR:
```
Dy6Al2Tl
1.0
-4.8483 4.9161 5.3244
4.8483 -4.9161 5.3244
4.8483 4.9161 -5.3244
Dy Al Tl
12 4 2
Direct
0.0296 0.8213 0.2083
0.2437 0.5405 0.2968
0.2437 0.9469 0.7032
0.2752 0.3157 0.5908
0.2752 0.6843 0.9595
0.3871 0.1787 0.2083
0.6129 0.8213 0.7917
0.7248 0.3157 0.0405
0.7248 0.6843 0.4092
0.7563 0.0531 0.2968
0.7563 0.4595 0.7032
0.9704 0.1787 0.7917
0.0000 0.1414 0.1414
0.0000 0.8586 0.8586
0.3784 0.3784 0.0000
0.6216 0.6216 0.0000
0.0000 0.5000 0.5000
0.5000 0.0000 0.5000
```

energy of formation from the pure elements: -0.270 eV/atom
SG: Immm, No. 71
mass density: 8.069 Mg/m³
polymorph energy (0 for the lowest one): 0 kJ/mol of formula units